(1)
Entry from the Alexandria database: LaMgTl after structural relaxation (GGA-PBE).

a = 7.2349 Å, b = 6.6282 Å, c = 4.5628 Å
α = 89.99°, β = 108.42°, γ = 117.24°
Positions (direct):
Mg: 0.6676 0.7777 0.0669
Mg: 0.6681 0.2561 0.0671
Tl: 0.4123 0.8885 0.4391
Tl: 0.9236 0.1454 0.6950
La: 0.0309 0.6990 0.7481
La: 0.3049 0.3350 0.3860

Values from the calculation:
- Crystal system: orthorhombic
- DOS at the Fermi energy: 3.0 states/eV per cell
- Formation energy from the elements: -0.219 eV per atom
- Space group: Immm, No. 71
- Size of the total moment: 0.00 μB per cell

(2)
Entry from the Alexandria database: LaMgTl after structural relaxation (GGA-PBE).

a = 5.8118 Å, b = 5.8118 Å, c = 5.8118 Å
α = 143.92°, β = 129.62°, γ = 63.52°
Positions (direct):
La: 0.0013 0.0013 0.0000
Mg: 0.6641 0.6641 0.0000
Tl: 0.3346 0.3346 0.0000

Values from the calculation:
- Crystal system: orthorhombic
- DOS at the Fermi energy: 2.6 states/eV per cell
- Formation energy from the elements: -0.124 eV per atom
- Space group: Imm2, No. 44
- Size of the total moment: 0.00 μB per cell

(3)
Entry from the Alexandria database: LaMgTl2 after structural relaxation (GGA-PBE).

a = 3.4352 Å, b = 3.4352 Å, c = 10.8389 Å
α = 90.00°, β = 90.00°, γ = 111.97°
Positions (direct):
La: 0.0000 0.0000 0.5018
Mg: 0.5000 0.5000 0.7623
Tl: 0.0000 0.0000 0.9947
Tl: 0.5000 0.5000 0.2412

Values from the calculation:
- Crystal system: orthorhombic
- Energy above the lowest structure with this stoichiometry: 282 meV/atom
- DOS at the Fermi energy: 3.1 states/eV per cell
- Formation energy from the elements: -0.031 eV per atom
- Space group: Cmm2, No. 35
- Size of the total moment: 0.00 μB per cell

Question: What is the formula in the second record?
Answer: LaMgTl

Question: Which formula does entry 2 have?
Answer: LaMgTl

Question: DOS at the Fermi energy of number 1 (LaMgTl)?
Answer: 3.0 states/eV per cell